First-principles (GGA-PBEsol) data for a relaxed structure of Zn2SbAu, as listed in Alexandria via LeMat-Bulk.

CIF file:
```
data_Zn2SbAu
_chemical_formula_sum 'Zn8 Sb4 Au4'
_cell_length_a 6.669
_cell_length_b 6.669
_cell_length_c 6.669
_cell_angle_alpha 90.00
_cell_angle_beta 90.00
_cell_angle_gamma 90.00
_symmetry_space_group_name_H-M 'F -4 3 m'
_symmetry_Int_Tables_number 216
_symmetry_space_group_name_Hall 'F -4 2 3'
loop_
_atom_site_label
_atom_site_type_symbol
_atom_site_fract_x
_atom_site_fract_y
_atom_site_fract_z
Zn1 Zn 0.000 0.000 0.000
Zn2 Zn 0.250 0.250 0.250
Sb1 Sb 0.250 0.250 0.750
Au1 Au 0.000 0.000 0.500
```

Summary:
Total DFT energy (no corrections) ... -2.756 eV/atom
Energy relative to the elements, uncorrected ... 156 meV per atom